(1)
CoPtW2 | GGA-PBE | relaxed

Results
* space group: No. 25
* DOS(E_F): 0.65 states/eV/atom
* E above lowest polymorph: 3 meV per atom

a b c (Å): 4.397 2.725 4.838
angles (deg): 89.99 90.00 90.00
Fractional coordinates of all 4 atoms:
Co1 0.000 0.625 0.451
W1 0.000 0.125 0.964
W2 0.500 0.125 0.300
Pt1 0.500 0.625 0.785

***

(2)
CoPt2W | GGA-PBE | relaxed

Results
* space group: No. 166
* DOS(E_F): 1.12 states/eV/atom
* E above lowest polymorph: 144 meV per atom

a b c (Å): 9.010 9.010 9.010
angles (deg): 17.67 17.67 17.67
Fractional coordinates of all 4 atoms:
Co1 0.750 0.750 0.750
Pt1 0.003 0.003 0.003
Pt2 0.497 0.497 0.497
W1 0.250 0.250 0.250

***

(3)
CoPtW2 | GGA-PBE | relaxed

Results
* space group: No. 216
* DOS(E_F): 1.35 states/eV/atom
* E above lowest polymorph: 248 meV per atom

a b c (Å): 4.372 4.372 4.372
angles (deg): 60.00 60.00 60.00
Fractional coordinates of all 4 atoms:
Co1 0.500 0.500 0.500
Pt1 0.750 0.750 0.750
W1 0.000 0.000 0.000
W2 0.250 0.250 0.250

***

(4)
CoPt2W | GGA-PBE | relaxed

Results
* space group: No. 123
* DOS(E_F): 1.44 states/eV/atom
* E above lowest polymorph: 268 meV per atom

a b c (Å): 4.726 4.726 2.716
angles (deg): 90.00 90.00 90.00
Fractional coordinates of all 4 atoms:
Co1 0.000 0.500 0.500
Pt1 0.000 0.000 0.000
Pt2 0.500 0.500 0.000
W1 0.500 0.000 0.500

***

(5)
CoPtW2 | GGA-PBE | relaxed

Results
* space group: No. 10
* DOS(E_F): 1.12 states/eV/atom
* E above lowest polymorph: 181 meV per atom

a b c (Å): 2.783 4.696 5.514
angles (deg): 55.08 90.00 90.00
Fractional coordinates of all 4 atoms:
Co1 0.500 0.500 0.500
Pt1 0.000 0.000 0.500
W1 0.000 0.000 0.000
W2 0.500 0.500 0.000

***

(6)
CoPt8W2 | GGA-PBE | relaxed

Results
* space group: No. 12
* DOS(E_F): 1.05 states/eV/atom

a b c (Å): 3.939 6.254 7.364
angles (deg): 104.85 105.51 90.00
Fractional coordinates of all 11 atoms:
Co1 0.500 0.000 0.000
Pt1 0.595 0.450 0.191
Pt2 0.319 0.085 0.639
Pt3 0.140 0.192 0.280
Pt4 0.047 0.733 0.093
Pt5 0.860 0.808 0.720
Pt6 0.681 0.915 0.361
Pt7 0.405 0.550 0.809
Pt8 0.953 0.267 0.907
W1 0.225 0.642 0.450
W2 0.775 0.358 0.550

***

(7)
CoPtW2 | GGA-PBE | relaxed

Results
* space group: No. 8
* DOS(E_F): 0.86 states/eV/atom
* E above lowest polymorph: 82 meV per atom

a b c (Å): 4.678 4.678 4.868
angles (deg): 80.97 80.97 33.90
Fractional coordinates of all 4 atoms:
Co1 0.497 0.497 0.521
Pt1 0.248 0.248 0.247
W1 0.000 0.000 0.013
W2 0.755 0.755 0.719

***

(8)
CoPtW2 | GGA-PBE | relaxed

Results
* space group: No. 119
* DOS(E_F): 1.31 states/eV/atom
* E above lowest polymorph: 139 meV per atom

a b c (Å): 4.738 4.738 4.737
angles (deg): 131.30 131.30 71.36
Fractional coordinates of all 4 atoms:
Co1 0.500 0.500 0.000
Pt1 0.250 0.750 0.500
W1 0.000 0.000 0.000
W2 0.750 0.250 0.500

***

| no. | formation enthalpy at 0 K (meV per atom) |
| --- | --- |
| 1 | -78 |
| 2 | -41 |
| 3 | 167 |
| 4 | 82 |
| 5 | 100 |
| 6 | -191 |
| 7 | 1 |
| 8 | 58 |